(one)
A plane-wave DFT calculation with GGA-PBE was carried out for a relaxed Rb2NaTcI6 crystal.

Results
Fermi-level density of states	0.6152	states/eV/atom
mass density	4.10	g cm⁻³
space group	R-3m, No. 166

```
data_Rb2NaTcI6
_symmetry_space_group_name_H-M 'P 1'
_symmetry_Int_Tables_number 1
_symmetry_space_group_name_Hall 'P 1'
_cell_length_a 8.2136
_cell_length_b 8.2136
_cell_length_c 15.3414
_cell_angle_alpha 74.47
_cell_angle_beta 74.47
_cell_angle_gamma 60.00
loop_
_atom_site_label
_atom_site_fract_x
_atom_site_fract_y
_atom_site_fract_z
I1 0.1944 0.1944 0.8888
Rb1 0.3037 0.3037 0.0889
I2 0.6249 0.1419 0.6082
Na1 0.5841 0.5841 0.2476
I3 0.8056 0.8056 0.1112
I4 0.3751 0.3751 0.3918
I5 0.8581 0.3751 0.3918
Rb2 0.6963 0.6963 0.9111
Tc1 0.0000 0.0000 0.0000
I6 0.1944 0.7223 0.8888
I7 0.6249 0.6249 0.6082
I8 0.3751 0.8581 0.3918
Na2 0.4159 0.4159 0.7524
I9 0.7223 0.1944 0.8888
Rb3 0.8696 0.8696 0.3912
Tc2 0.5000 0.5000 0.5000
Rb4 0.1304 0.1304 0.6088
I10 0.2777 0.8056 0.1112
I11 0.8056 0.2777 0.1112
I12 0.1419 0.6249 0.6082
```



(two)
A plane-wave DFT calculation with GGA-PBE was carried out for a relaxed Rb2NaTcI6 crystal.

Results
Fermi-level density of states	1.0994	states/eV/atom
mass density	4.25	g cm⁻³
space group	Fm-3m, No. 225

```
data_Rb2NaTcI6
_symmetry_space_group_name_H-M 'P 1'
_symmetry_Int_Tables_number 1
_symmetry_space_group_name_Hall 'P 1'
_cell_length_a 8.3500
_cell_length_b 8.3500
_cell_length_c 8.3503
_cell_angle_alpha 60.00
_cell_angle_beta 60.00
_cell_angle_gamma 90.00
loop_
_atom_site_label
_atom_site_fract_x
_atom_site_fract_y
_atom_site_fract_z
I1 0.2337 0.2337 0.5327
I2 0.7664 0.2336 0.0000
Rb1 0.2500 0.7500 0.5000
Tc1 0.0000 0.0000 0.0000
I3 0.2336 0.7664 0.0000
I4 0.2336 0.2336 0.0000
Na1 0.5000 0.5000 0.0000
Rb2 0.7500 0.2500 0.5000
I5 0.7664 0.7664 0.0000
I6 0.7663 0.7663 0.4673
```



The structure with the greatest stability is (one).



(one)
A plane-wave DFT calculation with GGA-PBE was carried out for a relaxed NaRe3I crystal.

Results
Fermi-level density of states	1.2051	states/eV/atom
mass density	11.78	g cm⁻³
space group	Pm-3m, No. 221

```
data_NaRe3I
_symmetry_space_group_name_H-M 'P 1'
_symmetry_Int_Tables_number 1
_symmetry_space_group_name_Hall 'P 1'
_cell_length_a 4.6395
_cell_length_b 4.6395
_cell_length_c 4.6395
_cell_angle_alpha 90.00
_cell_angle_beta 90.00
_cell_angle_gamma 90.00
loop_
_atom_site_label
_atom_site_fract_x
_atom_site_fract_y
_atom_site_fract_z
Re1 0.5000 0.0000 0.0000
Re2 0.0000 0.5000 0.0000
I1 0.5000 0.5000 0.5000
Na1 0.0000 0.0000 0.0000
Re3 0.0000 0.0000 0.5000
```



(two)
A plane-wave DFT calculation with GGA-PBE was carried out for a relaxed NaRe3I crystal.

Results
Fermi-level density of states	0.9434	states/eV/atom
mass density	10.09	g cm⁻³
space group	Pm-3m, No. 221

```
data_NaRe3I
_symmetry_space_group_name_H-M 'P 1'
_symmetry_Int_Tables_number 1
_symmetry_space_group_name_Hall 'P 1'
_cell_length_a 4.8848
_cell_length_b 4.8848
_cell_length_c 4.8848
_cell_angle_alpha 90.00
_cell_angle_beta 90.00
_cell_angle_gamma 90.00
loop_
_atom_site_label
_atom_site_fract_x
_atom_site_fract_y
_atom_site_fract_z
I1 0.0000 0.0000 0.0000
Re1 0.0000 0.5000 0.0000
Re2 0.5000 0.0000 0.0000
Na1 0.5000 0.5000 0.5000
Re3 0.0000 0.0000 0.5000
```



The structure with the greatest stability is (two).